## LaNdY3Th (GGA-PBE)

Data for LaNdY3Th after structural relaxation.

The structure in POSCAR format:
```
LaNdY3Th
1.0
10.813 0.000 0.000
0.000 3.619 0.000
-3.551 0.000 10.309
La Nd Y Th
2 2 6 2
Direct
0.210 0.250 0.373
0.790 0.750 0.627
0.130 0.750 0.633
0.870 0.250 0.367
0.044 0.250 0.877
0.295 0.750 0.117
0.460 0.750 0.632
0.540 0.250 0.368
0.705 0.250 0.883
0.956 0.750 0.123
0.379 0.250 0.878
0.621 0.750 0.122
```

final energy: -72.68 eV for the cell shown
space-group type: No. 11